Here is crystalline La2InGa at its relaxed geometry from Alexandria via LeMat-Bulk. Energies are from GGA-PBEsol.

The space group is Fm-3m (No. 225) and the conventional cell measures 7.614, 7.614 and 7.614 Å, with angles of 90.00, 90.00 and 90.00 degrees. The distinct sites, in fractional coordinates, are La at (0.250, 0.250, 0.250), In at (0.000, 0.000, 0.000) and Ga at (0.000, 0.000, 0.500).

Its density of states at the Fermi level is 12.2 states/eV per cell. For the mass density, the calculation gives 7.0 Mg/m³. The energy of formation is -525 meV/atom. The calculation puts the spin magnetization at 0.000 μB per atom.